No. 1
A relaxed DyTh2Tl crystal. Source: the Alexandria database, functional PBE.

The calculation puts the energy above the most stable polymorph in this dataset at 123 meV per atom. The size of the total moment is 0.0 μB/f.u. The density of states at the Fermi level is 16.9 states/eV per cell. The formation energy is 24 meV/atom.

The structure belongs to space group R3m (No. 160, hexagonal axes); the cell edges are 3.5378, 3.5378 and 34.6739 Å and the angles 90.00°, 90.00° and 120.00°. The distinct sites, in fractional coordinates, are Dy at (0.0000, 0.0000, 0.0000), Th at (0.0000, 0.0000, 0.4191), Th at (0.0000, 0.0000, 0.5820) and Tl at (0.0000, 0.0000, 0.8343).

No. 2
A relaxed BiSCl2 crystal. Source: the Alexandria database, functional PBE.

The calculation puts the energy above the most stable polymorph in this dataset at 0 meV per atom. Its uncorrected formation energy is -0.5352 eV/atom. The size of the total moment is 0.0 μB/f.u. The density of states at the Fermi level is 4.9 states/eV per cell.

The structure belongs to space group C2/m (No. 12); the cell edges are 14.2361, 4.0453 and 9.9656 Å and the angles 90.00°, 112.66° and 90.00°. The distinct sites, in fractional coordinates, are Bi at (0.0784, 0.0000, 0.1920), S at (0.2160, 0.0000, 0.4942), Cl at (0.0236, 0.5000, 0.7343) and Cl at (0.1857, 0.5000, 0.1294).

No. 3
A relaxed DyZrNiPt crystal. Source: the Alexandria database, functional PBE.

The size of the total moment is 0.0 μB/f.u. The density of states at the Fermi level is 11.8 states/eV per cell. The formation energy is -680 meV/atom.

The structure belongs to space group F-43m (No. 216); the cell edges are 6.7352, 6.7352 and 6.7352 Å and the angles 90.00°, 90.00° and 90.00°. The distinct sites, in fractional coordinates, are Dy at (0.0000, 0.0000, 0.0000), Zr at (0.0000, 0.0000, 0.5000), Ni at (0.2500, 0.2500, 0.7500) and Pt at (0.2500, 0.2500, 0.2500).

No. 4
A relaxed Ru2PbW crystal. Source: the Alexandria database, functional PBE.

The size of the total moment is 0.0 μB/f.u. The density of states at the Fermi level is 7.3 states/eV per cell. The formation energy is 416 meV/atom.

The structure belongs to space group R-3m (No. 166, hexagonal axes); the cell edges are 3.0805, 3.0805 and 26.1303 Å and the angles 90.00°, 90.00° and 120.00°. The distinct sites, in fractional coordinates, are Ru at (0.0000, 0.0000, 0.2386), Pb at (0.0000, 0.0000, 0.0000) and W at (0.0000, 0.0000, 0.5000).

Which formula does entry 4 have?
Ru2PbW